LiPbSeN2 | PBE | relaxed

```
LiPbSeN2
1.0
-1.0908 -2.6158 3.4900
1.4005 -3.6170 -2.2734
5.2294 0.6780 2.1427
Li Pb N Se
1 1 2 1
Direct
0.5000 0.5000 0.5000 Li
0.0000 0.0000 0.0000 Pb
0.5000 0.0000 0.0000 N
0.0000 0.5000 0.0000 N
0.0000 0.0000 0.5000 Se
```

Space-group type: P4/mmm
DOS at the Fermi energy: 0.41 states/eV/atom
M_tot: 3.30 μB per cell
Excess energy over the best structure of this formula in the dataset: 0.000 eV per atom

***

Sr2LiPbN | PBE | relaxed

```
Sr2LiPbN
1.0
5.4639 0.0000 0.0000
0.0000 5.4639 0.0000
0.0000 0.0000 4.1782
Li Sr Pb N
1 2 1 1
Direct
0.0000 0.0000 0.5000 Li
0.0000 0.5000 0.0000 Sr
0.5000 0.0000 0.0000 Sr
0.5000 0.5000 0.5000 Pb
0.0000 0.0000 0.0000 N
```

Space-group type: P4/mmm
DOS at the Fermi energy: 0.88 states/eV/atom
M_tot: 0.00 μB per cell

***

LiTa4PbN8 | PBE | relaxed

```
LiTa4PbN8
1.0
-4.4846 -3.0442 -3.2346
1.2217 -5.6500 -2.5350
-2.6897 -5.2226 2.4856
N Ta Li Pb
8 4 1 1
Direct
0.2354 0.2354 0.2939 N
0.7408 0.2427 0.2758 N
0.2427 0.7408 0.2758 N
0.8031 0.2436 0.7097 N
0.2436 0.8031 0.7097 N
0.2436 0.2436 0.7097 N
0.7565 0.7565 0.7304 N
0.7408 0.7408 0.2758 N
0.0014 0.4903 0.5070 Ta
0.4903 0.0014 0.5070 Ta
0.6216 0.6216 0.1351 Ta
0.0014 0.0014 0.5070 Ta
0.0012 0.0012 0.9965 Li
0.3778 0.3778 0.8666 Pb
```

Space-group type: R3m
DOS at the Fermi energy: 0.16 states/eV/atom
M_tot: 0.00 μB per cell

***

Li2TcPbN | PBE | relaxed

```
Li2TcPbN
1.0
-1.6631 3.3766 1.9915
-3.8465 -0.9882 -1.5368
-0.6928 -2.1973 3.1469
Pb Tc N Li
1 1 1 2
Direct
0.5000 0.5000 0.5000 Pb
0.0000 0.0000 0.5000 Tc
0.0000 0.0000 0.0000 N
0.0000 0.5000 0.0000 Li
0.5000 0.0000 0.0000 Li
```

Space-group type: P4/mmm
DOS at the Fermi energy: 0.93 states/eV/atom
M_tot: 0.00 μB per cell

***

LiTePbN2 | PBE | relaxed

```
LiTePbN2
1.0
4.4880 0.0000 0.0000
0.0000 4.4880 0.0000
0.0000 0.0000 5.4332
N Te Li Pb
2 1 1 1
Direct
0.5000 0.0000 0.0000 N
0.0000 0.5000 0.0000 N
0.0000 0.0000 0.5000 Te
0.0000 0.0000 0.0000 Li
0.5000 0.5000 0.5000 Pb
```

Space-group type: P4/mmm
DOS at the Fermi energy: 0.49 states/eV/atom
M_tot: 4.87 μB per cell
Excess energy over the best structure of this formula in the dataset: 0.126 eV per atom

***

LiTePbN2 | PBE | relaxed

```
LiTePbN2
1.0
4.4805 0.0000 0.0000
0.0000 4.4805 0.0000
0.0000 0.0000 6.1552
Te Li N Pb
1 1 2 1
Direct
0.0000 0.0000 0.5000 Te
0.5000 0.5000 0.5000 Li
0.5000 0.0000 0.0000 N
0.0000 0.5000 0.0000 N
0.0000 0.0000 0.0000 Pb
```

Space-group type: P4/mmm
DOS at the Fermi energy: 0.29 states/eV/atom
M_tot: 3.24 μB per cell
Excess energy over the best structure of this formula in the dataset: 0.000 eV per atom

***

LiThPb2N | PBE | relaxed

```
LiThPb2N
1.0
4.1259 0.0000 0.0000
0.0000 4.1259 0.0000
0.0000 0.0000 14.3794
N Pb Th Li
2 4 2 2
Direct
0.5000 0.5000 0.5000 N
0.0000 0.0000 0.5000 N
0.5000 0.0000 0.2582 Pb
0.0000 0.5000 0.7418 Pb
0.5000 0.0000 0.8486 Pb
0.0000 0.5000 0.1514 Pb
0.0000 0.5000 0.4215 Th
0.5000 0.0000 0.5785 Th
0.0000 0.5000 0.9464 Li
0.5000 0.0000 0.0536 Li
```

Space-group type: P4/nmm
DOS at the Fermi energy: 0.41 states/eV/atom
M_tot: 0.00 μB per cell

***

LiTiPbN2 | PBE | relaxed

```
LiTiPbN2
1.0
4.3992 0.0000 0.0000
0.0000 4.4790 0.0000
0.0000 0.0000 4.3992
Li Pb Ti N
1 1 1 2
Direct
0.0000 0.5000 0.0000 Li
0.0000 0.0000 0.0000 Pb
0.5000 0.5000 0.5000 Ti
0.5000 0.0000 0.0000 N
0.0000 0.0000 0.5000 N
```

Space-group type: P4/mmm
DOS at the Fermi energy: 1.26 states/eV/atom
M_tot: 0.41 μB per cell

***

LiPd2N | PBE | relaxed

```
LiPd2N
1.0
5.2491 0.0000 0.0000
0.0000 5.2491 0.0000
2.6245 2.6245 5.8287
Li Pd N
2 4 2
Direct
0.2500 0.7500 0.5000 Li
0.5000 0.5000 0.0000 Li
0.8756 0.6250 0.2500 Pd
0.8750 0.1244 0.7500 Pd
0.8744 0.1250 0.2500 Pd
0.3750 0.1256 0.7500 Pd
0.0000 0.0000 0.0000 N
0.7500 0.2500 0.5000 N
```

Space-group type: I4_1/amd
DOS at the Fermi energy: 0.30 states/eV/atom
M_tot: 0.00 μB per cell

***

LiPdN2 | PBE | relaxed

```
LiPdN2
1.0
-2.0578 3.4576 2.5148
-4.0305 -2.4998 0.1388
-1.7068 -1.4680 5.0980
N Li Pd
4 2 2
Direct
0.1005 0.6250 0.2500 N
0.6495 0.1250 0.2500 N
0.8750 0.8995 0.7500 N
0.3750 0.3505 0.7500 N
0.5000 0.5000 0.0000 Li
0.2500 0.7500 0.5000 Li
0.0000 0.0000 0.0000 Pd
0.7500 0.2500 0.5000 Pd
```

Space-group type: I-42d
DOS at the Fermi energy: 0.46 states/eV/atom
M_tot: 0.00 μB per cell
Excess energy over the best structure of this formula in the dataset: 0.000 eV per atom

***

LiPdN2 | PBE | relaxed

```
LiPdN2
1.0
1.6251 5.9379 0.0708
4.0854 4.4315 1.2555
3.6860 4.5776 -1.8341
N Li Pd
2 1 1
Direct
0.1068 0.1068 0.1068 N
0.8932 0.8932 0.8932 N
0.0000 0.0000 0.0000 Li
0.5000 0.5000 0.5000 Pd
```

Space-group type: R-3m
DOS at the Fermi energy: 1.16 states/eV/atom
M_tot: 0.00 μB per cell
Excess energy over the best structure of this formula in the dataset: 0.018 eV per atom

***

Li2PdN2 | PBE | relaxed

```
Li2PdN2
1.0
5.5047 0.0000 0.0000
0.0000 5.5047 0.0000
0.0000 0.0000 3.2400
Pd Li N
2 4 4
Direct
0.5000 0.5000 0.0000 Pd
0.0000 0.0000 0.0000 Pd
0.1794 0.6794 0.5000 Li
0.3206 0.1794 0.5000 Li
0.6794 0.8206 0.5000 Li
0.8206 0.3206 0.5000 Li
0.5839 0.0839 0.0000 N
0.0839 0.4161 0.0000 N
0.9161 0.5839 0.0000 N
0.4161 0.9161 0.0000 N
```

Space-group type: P4/mbm
DOS at the Fermi energy: 0.35 states/eV/atom
M_tot: 0.00 μB per cell

***

LiPd3N | PBE | relaxed

```
LiPd3N
1.0
4.1323 0.0000 0.0000
0.0000 4.1323 0.0000
0.0000 0.0000 4.1323
N Pd Li
1 3 1
Direct
0.0000 0.0000 0.0000 N
0.5000 0.0000 0.0000 Pd
0.0000 0.0000 0.5000 Pd
0.0000 0.5000 0.0000 Pd
0.5000 0.5000 0.5000 Li
```

Space-group type: Pm-3m
DOS at the Fermi energy: 0.72 states/eV/atom
M_tot: 0.00 μB per cell
Excess energy over the best structure of this formula in the dataset: 0.000 eV per atom

***

Li3PdN | PBE | relaxed

```
Li3PdN
1.0
-1.1591 1.5949 4.2575
-4.4558 0.4741 -1.3907
-0.9030 -4.3869 1.3975
Li N Pd
3 1 1
Direct
0.0000 0.5000 0.0000 Li
0.5000 0.0000 0.0000 Li
0.0000 0.0000 0.5000 Li
0.5000 0.5000 0.5000 N
0.0000 0.0000 0.0000 Pd
```

Space-group type: Pm-3m
DOS at the Fermi energy: 0.44 states/eV/atom
M_tot: 2.00 μB per cell
Excess energy over the best structure of this formula in the dataset: 0.978 eV per atom

***

LiPdN2 | PBE | relaxed

```
LiPdN2
1.0
-3.5320 0.3733 1.0905
-2.4852 1.5837 -2.2625
-2.6583 -2.0632 -1.5748
Li N Pd
1 2 1
Direct
0.0000 0.0000 0.0000 Li
0.7500 0.7500 0.7500 N
0.2500 0.2500 0.2500 N
0.5000 0.5000 0.5000 Pd
```

Space-group type: Fm-3m
DOS at the Fermi energy: 0.30 states/eV/atom
M_tot: 0.00 μB per cell
Excess energy over the best structure of this formula in the dataset: 0.080 eV per atom

***

Li2Pd6N | PBE | relaxed

```
Li2Pd6N
1.0
5.6611 0.0000 -0.1495
0.0000 5.6635 0.0000
0.2113 0.0000 8.0138
Pd N Li
12 2 4
Direct
0.7565 0.7567 0.0000 Pd
0.2433 0.7565 0.0001 Pd
0.7567 0.2435 0.9999 Pd
0.5001 0.5001 0.2563 Pd
0.7433 0.7435 0.5001 Pd
0.2435 0.2433 0.0000 Pd
0.2567 0.2565 0.4999 Pd
0.9999 0.0001 0.2437 Pd
0.7435 0.2567 0.5000 Pd
0.2565 0.7433 0.5000 Pd
0.4999 0.4999 0.7437 Pd
0.0001 0.9999 0.7563 Pd
0.5000 0.5000 0.0000 N
0.0000 0.0000 0.5000 N
0.9999 0.5000 0.2500 Li
0.0001 0.5000 0.7500 Li
0.4999 0.0000 0.7500 Li
0.5001 0.0000 0.2500 Li
```

Space-group type: Fm-3m
DOS at the Fermi energy: 0.86 states/eV/atom
M_tot: 0.00 μB per cell

***

Li3PdN | PBE | relaxed

```
Li3PdN
1.0
3.8806 0.0000 0.0000
0.0000 3.8806 0.0000
0.0000 0.0000 3.8806
Pd N Li
1 1 3
Direct
0.5000 0.5000 0.5000 Pd
0.0000 0.0000 0.0000 N
0.5000 0.0000 0.0000 Li
0.0000 0.5000 0.0000 Li
0.0000 0.0000 0.5000 Li
```

Space-group type: Pm-3m
DOS at the Fermi energy: 0.22 states/eV/atom
M_tot: 0.00 μB per cell
Excess energy over the best structure of this formula in the dataset: 0.000 eV per atom

***

LiPdN2 | PBE | relaxed

```
LiPdN2
1.0
1.9328 0.0000 4.7433
-0.9664 1.6738 4.7433
-0.9664 -1.6738 4.7433
Pd N Li
1 2 1
Direct
0.0000 0.0000 0.0000 Pd
0.1380 0.1380 0.1380 N
0.8620 0.8620 0.8620 N
0.5000 0.5000 0.5000 Li
```

Space-group type: R-3m
DOS at the Fermi energy: 0.25 states/eV/atom
M_tot: 0.00 μB per cell
Excess energy over the best structure of this formula in the dataset: 0.326 eV per atom

***

LiPd3N | PBE | relaxed

```
LiPd3N
1.0
-3.7180 -0.5202 -1.9586
-0.6495 -3.5706 2.1814
-1.9195 2.2158 3.0554
Pd N Li
3 1 1
Direct
0.5000 0.0000 0.0000 Pd
0.0000 0.0000 0.5000 Pd
0.0000 0.5000 0.0000 Pd
0.5000 0.5000 0.5000 N
0.0000 0.0000 0.0000 Li
```

Space-group type: Pm-3m
DOS at the Fermi energy: 0.74 states/eV/atom
M_tot: 2.17 μB per cell
Excess energy over the best structure of this formula in the dataset: 1.497 eV per atom

***

LiPd2PtN | PBE | relaxed

```
LiPd2PtN
1.0
-2.5498 0.3948 3.1677
-0.5553 -4.0472 0.0574
3.0519 -0.3833 2.5044
Pd Li N Pt
2 1 1 1
Direct
0.0000 0.5000 0.0000 Pd
0.5000 0.0000 0.0000 Pd
0.0000 0.0000 0.5000 Li
0.0000 0.0000 0.0000 N
0.5000 0.5000 0.5000 Pt
```

Space-group type: P4/mmm
DOS at the Fermi energy: 0.82 states/eV/atom
M_tot: 0.00 μB per cell

***

Uncorrected formation energy per entry: 6.1 -1.9 -9.0 -0.9 7.0 6.4 -3.8 8.7 1.1 3.0 3.1 -0.5 -0.1 4.2 3.3 -1.6 -0.7 4.3 7.3 0.3 eV per formula unit